Model 1:
A geometry-optimized YTa2Ru structure. Source: Alexandria via LeMat-Bulk, functional GGA-PBE.

Magnetic moment, μB/f.u.: 0.00
Density of states at the Fermi level, states/eV per cell: 4.74
Volume, Å³/f.u.: 77.4
Symmetry: I4/mmm

Lattice parameters (Å, degrees): 5.7333 5.7333 5.7333 139.92 139.92 57.98
Closest atoms and distances in Å follow each position.
Element x y z (fractional)
Ta (0.5000, 0.5000, 0.0000)  4 Ta 2.78
Ta (0.0000, 0.0000, 0.0000)  4 Ta 2.78
Y (0.2500, 0.7500, 0.5000)  4 Ru 2.78
Ru (0.7500, 0.2500, 0.5000)  4 Y 2.78

***

Model 2:
A geometry-optimized YTa2Ru structure. Source: Alexandria via LeMat-Bulk, functional GGA-PBE.

Magnetic moment, μB/f.u.: 0.00
Density of states at the Fermi level, states/eV per cell: 4.63
Volume, Å³/f.u.: 75.1
Symmetry: F-43m

Lattice parameters (Å, degrees): 4.7365 4.7365 4.7365 60.00 60.00 60.00
Closest atoms and distances in Å follow each position.
Element x y z (fractional)
Ta (0.2500, 0.2500, 0.2500)  4 Ru 2.90, 4 Ta 2.90
Ta (0.0000, 0.0000, 0.0000)  4 Ta 2.90, 4 Y 2.90
Ru (0.5000, 0.5000, 0.5000)  4 Y 2.90, 4 Ta 2.90
Y (0.7500, 0.7500, 0.7500)  4 Ru 2.90, 4 Ta 2.90

***

The most stable arrangement is model 2, and the next structure is 5.0 kJ/mol of atoms less stable.

***

Model 1:
A geometry-optimized YTa2Ru structure. Source: Alexandria via LeMat-Bulk, functional GGA-PBE.

Magnetic moment, μB/f.u.: 0.00
Density of states at the Fermi level, states/eV per cell: 4.69
Volume, Å³/f.u.: 76.8
Symmetry: Pmmm

Lattice parameters (Å, degrees): 3.0174 4.6189 5.5073 90.00 90.00 90.00
Closest atoms and distances in Å follow each position.
Element x y z (fractional)
Y (0.5000, 0.5000, 0.2500)  2 Ru 2.75, 2 Y 3.02
Ru (0.5000, 0.5000, 0.7500)  2 Y 2.75, 2 Ru 3.02, 8 Ta 3.05
Ta (0.0000, 0.0000, 0.5125)  2 Ta 2.62-2.89
Ta (0.0000, 0.0000, 0.9875)  2 Ta 2.62-2.89

***

Model 2:
A geometry-optimized YTa2Ru structure. Source: Alexandria via LeMat-Bulk, functional GGA-PBE.

Magnetic moment, μB/f.u.: 0.00
Density of states at the Fermi level, states/eV per cell: 4.10
Volume, Å³/f.u.: 78.4
Symmetry: R-3m

Lattice parameters (Å, degrees): 9.6511 9.6511 9.6511 18.42 18.42 18.42
Closest atoms and distances in Å follow each position.
Element x y z (fractional)
Ru (0.7500, 0.7500, 0.7500)  6 Ta 2.70
Y (0.2500, 0.2500, 0.2500)  6 Y 3.09, 6 Ta 3.24
Ta (0.4881, 0.4881, 0.4881)  3 Ru 2.70
Ta (0.0119, 0.0119, 0.0119)  3 Ru 2.70

***

Model 3:
A geometry-optimized YTa2Ru structure. Source: Alexandria via LeMat-Bulk, functional GGA-PBE.

Magnetic moment, μB/f.u.: 0.00
Density of states at the Fermi level, states/eV per cell: 4.21
Volume, Å³/f.u.: 78.2
Symmetry: P4/mmm

Lattice parameters (Å, degrees): 3.1592 3.1592 7.8348 90.00 90.00 90.00
Closest atoms and distances in Å follow each position.
Element x y z (fractional)
Ta (0.0000, 0.0000, 0.9516)  4 Ru 2.74
Ta (0.0000, 0.0000, 0.5484)  4 Ru 2.74
Y (0.5000, 0.5000, 0.2500)  4 Y 3.16, 8 Ta 3.23
Ru (0.5000, 0.5000, 0.7500)  8 Ta 2.74

***

The most stable arrangement is model 3, and the next structure is 19.2 kJ/mol of atoms less stable.

***

Model 1:
A geometry-optimized YTa2Ru structure. Source: Alexandria via LeMat-Bulk, functional GGA-PBE.

Magnetic moment, μB/f.u.: 0.00
Density of states at the Fermi level, states/eV per cell: 4.08
Volume, Å³/f.u.: 75.3
Symmetry: C2/m

Lattice parameters (Å, degrees): 5.3190 5.5703 2.9942 80.61 77.21 114.71
Closest atoms and distances in Å follow each position.
Element x y z (fractional)
Ta (0.0000, 0.0000, 0.0000)  4 Ta 2.75-2.99, 2 Y 2.94, 2 Ru 2.94
Ta (0.5000, 0.0000, 0.5000)  4 Ta 2.75-2.99, 2 Ru 2.94, 2 Y 2.94
Y (0.0000, 0.5000, 0.5000)  2 Ru 2.75, 4 Ta 2.94, 2 Y 2.99
Ru (0.5000, 0.5000, 0.0000)  2 Y 2.75, 4 Ta 2.94, 2 Ru 2.99

***

Model 2:
A geometry-optimized YTa2Ru structure. Source: Alexandria via LeMat-Bulk, functional GGA-PBE.

Magnetic moment, μB/f.u.: 0.00
Density of states at the Fermi level, states/eV per cell: 3.45
Volume, Å³/f.u.: 76.3
Symmetry: Immm

Lattice parameters (Å, degrees): 5.7449 5.7449 5.7449 147.10 131.60 59.77
Closest atoms and distances in Å follow each position.
Element x y z (fractional)
Y (0.7500, 0.2500, 0.5000)  4 Ru 2.86, 4 Ta 3.14
Ru (0.2500, 0.7500, 0.5000)  4 Ta 2.81, 4 Y 2.86
Ta (0.4802, 0.4802, 0.0000)  2 Ru 2.81, 4 Ta 2.89, 2 Y 3.14
Ta (0.0198, 0.0198, 0.0000)  2 Ru 2.81, 4 Ta 2.89, 2 Y 3.14

***

Model 3:
A geometry-optimized YTa2Ru structure. Source: Alexandria via LeMat-Bulk, functional GGA-PBE.

Magnetic moment, μB/f.u.: 0.00
Density of states at the Fermi level, states/eV per cell: 11.74
Volume, Å³/f.u.: 85.8
Symmetry: I-42d

Lattice parameters (Å, degrees): 7.7484 7.7484 6.1792 51.17 51.17 90.00
Closest atoms and distances in Å follow each position.
Element x y z (fractional)
Y (0.5000, 0.5000, 0.0000)  2 Ru 2.86, 4 Ta 3.17
Y (0.2500, 0.7500, 0.5000)  2 Ru 2.86, 4 Ta 3.17
Ta (0.6854, 0.1250, 0.2500)  2 Ru 2.53
Ta (0.0646, 0.6250, 0.2500)  2 Ru 2.53
Ta (0.8750, 0.9354, 0.7500)  2 Ru 2.53
Ta (0.3750, 0.3146, 0.7500)  2 Ru 2.53
Ru (0.0000, 0.0000, 0.0000)  4 Ta 2.53
Ru (0.7500, 0.2500, 0.5000)  4 Ta 2.53

***

Model 4:
A geometry-optimized YTa2Ru structure. Source: Alexandria via LeMat-Bulk, functional GGA-PBE.

Magnetic moment, μB/f.u.: 0.00
Density of states at the Fermi level, states/eV per cell: 4.95
Volume, Å³/f.u.: 79.0
Symmetry: R3m

Lattice parameters (Å, degrees): 9.3668 9.3668 9.3668 19.36 19.36 19.36
Closest atoms and distances in Å follow each position.
Element x y z (fractional)
Ru (0.7410, 0.7410, 0.7410)  3 Ta 2.60
Ta (0.0068, 0.0068, 0.0068)  3 Ru 2.60, 3 Ta 2.91
Ta (0.2578, 0.2578, 0.2578)  9 Ta 2.91-3.15, 3 Y 3.23
Y (0.4944, 0.4944, 0.4944)  3 Ru 3.00, 6 Y 3.15, 3 Ta 3.23

***

The most stable arrangement is model 2, and the next structure is 23.2 kJ/mol of atoms less stable.